RbHo2C: relaxed, PBE.

## Properties
* ΔH_f (0 K): 0.6 kcal/mol of atoms

Lattice parameters (Å, degrees): 3.628 3.628 10.920 80.44 80.44 60.00
Each line ends with the local moment (μB).
Sites, in units of the cell vectors:
C: 0.500 0.500 0.500  -0.01
Ho: 0.125 0.125 0.624  0.10
Rb: 0.000 0.000 0.000  0.01
Ho: 0.875 0.875 0.376  0.10

TlReBi2Os: relaxed, PBE.

## Properties
* ΔH_f (0 K): 63.4 kcal/mol of atoms

Lattice parameters (Å, degrees): 5.658 5.126 5.658 90.00 90.00 90.00
Each line ends with the local moment (μB).
Sites, in units of the cell vectors:
Os: 0.500 0.500 0.500  2.67
Bi: 0.000 0.000 0.500  -0.15
Tl: 0.000 0.000 0.000  -0.01
Bi: 0.500 0.000 0.000  -0.25
Re: 0.000 0.500 0.000  2.72

InRe2O2: relaxed, PBE.

## Properties
* energy relative to the elements, uncorrected: 242 meV/atom

Lattice parameters (Å, degrees): 3.978 3.978 5.358 68.21 68.21 90.00
Sites, in units of the cell vectors:
In: 0.000 0.000 0.000
Re: 0.250 0.750 0.500
O: 0.663 0.663 0.673
Re: 0.750 0.250 0.500
O: 0.337 0.337 0.327

Na3PmSm2Se6: relaxed, PBE.

## Properties
* energy relative to the elements, uncorrected: -1694 meV/atom

Lattice parameters (Å, degrees): 7.344 7.344 7.426 99.49 99.49 119.99
Sites, in units of the cell vectors:
Na: 0.834 0.166 0.500
Na: 0.166 0.834 0.500
Se: 0.078 0.413 0.234
Se: 0.744 0.744 0.234
Se: 0.922 0.587 0.766
Sm: 0.333 0.667 0.000
Na: 0.500 0.500 0.500
Se: 0.413 0.078 0.234
Se: 0.256 0.256 0.766
Pm: 0.000 0.000 0.000
Se: 0.587 0.922 0.766
Sm: 0.667 0.333 0.000

KZrPCl2: relaxed, PBE.

## Properties
* energy relative to the elements, uncorrected: -1187 meV/atom

Lattice parameters (Å, degrees): 5.211 5.211 5.054 90.00 90.00 90.00
Sites, in units of the cell vectors:
Cl: 0.000 0.500 0.000
Zr: 0.000 0.000 0.000
P: 0.000 0.000 0.500
K: 0.500 0.500 0.500
Cl: 0.500 0.000 0.000

Li2YMg: relaxed, PBE.

## Properties
* ΔH_f (0 K): 2.4 kcal/mol of atoms

Lattice parameters (Å, degrees): 3.307 3.307 10.562 80.99 80.99 60.00
Sites, in units of the cell vectors:
Li: 0.078 0.078 0.766
Mg: 0.667 0.667 0.999
Li: 0.255 0.255 0.234
Y: 0.500 0.500 0.501